A relaxed structure of Cs2LaWF6, computed with PBE+U.

Cell lengths 7.0549, 7.0549, 6.7778 Å; angles 58.64, 58.64, 90.00 degrees
Fractional coordinates of all 10 atoms:
W 0.0000 0.0000 0.0000
F 0.7584 0.7584 0.4833
F 0.7317 0.2683 0.0000
F 0.2683 0.7317 0.0000
F 0.7317 0.7317 0.0000
F 0.2416 0.2416 0.5167
F 0.2683 0.2683 0.0000
La 0.5000 0.5000 0.0000
Cs 0.2500 0.7500 0.5000
Cs 0.7500 0.2500 0.5000

Properties
Fermi-level density of states, states/eV/cell: 0.38
Raw total energy, eV/atom: -5.09